An optimized crystal structure of PaCdCo2, computed with GGA-PBE.

Properties
* DOS at the Fermi energy: 0.81 states/eV per atom
* formation energy from the elements: -0.02 eV per atom
* VASP energy: -6.171 eV/atom

Cell: 3.3151 3.3151 6.3565 Å, 90.00 90.00 90.00°
Closest atoms and distances in Å follow each position.
Fractional coordinates of all 4 atoms:
Pa1 0.5000 0.5000 0.0000  8 Co 2.70
Co1 0.0000 0.0000 0.7900  1 Co 2.67, 4 Pa 2.70, 4 Cd 2.98
Co2 0.0000 0.0000 0.2100  1 Co 2.67, 4 Pa 2.70, 4 Cd 2.98
Cd1 0.5000 0.5000 0.5000  8 Co 2.98, 2 Pa 3.18, 4 Cd 3.32

An optimized crystal structure of CdCoPb3, computed with GGA-PBE.

Properties
* DOS at the Fermi energy: 0.87 states/eV per atom
* formation energy from the elements: 0.22 eV per atom
* VASP energy: -3.608 eV/atom

Cell: 5.1438 5.1438 5.1438 Å, 90.00 90.00 90.00°
Closest atoms and distances in Å follow each position.
Fractional coordinates of all 5 atoms:
Pb1 0.0000 0.0000 0.5000  2 Co 2.57
Pb2 0.5000 0.0000 0.0000  2 Co 2.57
Pb3 0.0000 0.5000 0.0000  2 Co 2.57
Cd1 0.5000 0.5000 0.5000  12 Pb 3.64
Co1 0.0000 0.0000 0.0000  6 Pb 2.57

An optimized crystal structure of Cd2Co2Pb, computed with GGA-PBE.

Properties
* DOS at the Fermi energy: 1.45 states/eV per atom
* formation energy from the elements: 0.48 eV per atom
* VASP energy: -3.470 eV/atom

Cell: 4.0630 4.0630 6.5779 Å, 72.01 72.01 90.00°
Closest atoms and distances in Å follow each position.
Fractional coordinates of all 5 atoms:
Pb1 0.0000 0.0000 0.0000  8 Co 3.07
Co1 0.4077 0.4077 0.1845  1 Co 2.18
Co2 0.5923 0.5923 0.8155  1 Co 2.18
Cd1 0.7500 0.2500 0.5000  4 Co 2.76, 4 Cd 2.87
Cd2 0.2500 0.7500 0.5000  4 Co 2.76, 4 Cd 2.87